No. 1
Computed, not measured: an optimized crystal structure of Sr2AlCdIr at the PBE level of DFT.

It has space group P4/mmm (No. 123), with a = 5.8597 Å, b = 5.8597 Å, c = 4.7771 Å, α = 90.00°, β = 90.00° and γ = 90.00°. The inequivalent atoms are Sr at (0.0000, 0.5000, 0.0000), Al at (0.0000, 0.0000, 0.5000), Cd at (0.5000, 0.5000, 0.5000) and Ir at (0.0000, 0.0000, 0.0000).

The formation energy is -0.239 eV/atom. As for the density of states at the Fermi level: 0.576 states/eV per atom. The volume comes out at 164.0 Å³/cell.

***

No. 2
Computed, not measured: an optimized crystal structure of TbMgScCu at the PBE level of DFT.

It has space group F-43m (No. 216), with a = 7.0634 Å, b = 7.0634 Å, c = 7.0634 Å, α = 90.00°, β = 90.00° and γ = 90.00°. The inequivalent atoms are Tb at (0.0000, 0.0000, 0.0000), Mg at (0.2500, 0.2500, 0.7500), Sc at (0.0000, 0.0000, 0.5000) and Cu at (0.2500, 0.2500, 0.2500).

The calculation puts the offset from the most stable computed form at 93 meV/atom. The formation energy is -0.048 eV/atom. As for the density of states at the Fermi level: 1.144 states/eV per atom. The volume comes out at 352.4 Å³/cell.

***

No. 3
Computed, not measured: an optimized crystal structure of Mg2SnSbTe at the PBE level of DFT.

It has space group P4/mmm (No. 123), with a = 5.3428 Å, b = 5.3428 Å, c = 5.9565 Å, α = 90.00°, β = 90.00° and γ = 90.00°. The inequivalent atoms are Mg at (0.0000, 0.5000, 0.0000), Sn at (0.0000, 0.0000, 0.5000), Sb at (0.5000, 0.5000, 0.5000) and Te at (0.0000, 0.0000, 0.0000).

For the formation energy from raw total energies, the calculation gives 0.2956 eV per atom. As for the density of states at the Fermi level: 0.565 states/eV per atom. The volume comes out at 170.0 Å³/cell.

***

No. 4
Computed, not measured: an optimized crystal structure of Ce4Pt at the PBE level of DFT.

It has space group Pm-3m (No. 221), with a = 5.5943 Å, b = 5.5943 Å, c = 5.5943 Å, α = 90.00°, β = 90.00° and γ = 90.00°. The inequivalent atoms are Ce at (0.0000, 0.0000, 0.0000), Ce at (0.0000, 0.5000, 0.5000) and Pt at (0.5000, 0.5000, 0.5000).

The calculation puts the offset from the most stable computed form at 280 meV/atom. The formation energy is -0.042 eV/atom. As for the density of states at the Fermi level: 4.593 states/eV per atom. The volume comes out at 175.1 Å³/cell.